Record 1
Density functional theory data (GGA-PBE) for a relaxed ZrCrBr2 crystal.

- Energy above the lowest structure with this stoichiometry: 0.210 eV per atom
- E_form (uncorrected): -0.1840 eV/atom

Lattice parameters (Å, degrees): 5.592 5.592 7.099 59.17 59.17 35.19
Atoms (fractional coordinates):
Zr  0.250  0.250  0.108
Cr  0.532  0.532  0.466
Br  0.933  0.933  0.155
Br  0.785  0.785  0.771

Record 2
Density functional theory data (GGA-PBE) for a relaxed KLaS2Cl crystal.

- Energy above the lowest structure with this stoichiometry: 0.000 eV per atom
- E_form (uncorrected): -1.4984 eV/atom

Lattice parameters (Å, degrees): 5.513 5.513 5.694 90.00 90.00 90.00
Atoms (fractional coordinates):
S  0.000  0.500  0.000
S  0.500  0.000  0.000
K  0.500  0.500  0.500
Cl  0.000  0.000  0.500
La  0.000  0.000  0.000

Record 3
Density functional theory data (GGA-PBE) for a relaxed Ho3P2Se2 crystal.

- E_form (uncorrected): -1.4129 eV/atom

Lattice parameters (Å, degrees): 3.993 7.071 8.039 120.61 104.38 90.00
Atoms (fractional coordinates):
P  0.361  0.237  0.721
P  0.639  0.763  0.279
Se  0.879  0.700  0.758
Se  0.121  0.300  0.242
Ho  0.727  0.223  0.453
Ho  0.273  0.777  0.547
Ho  0.000  0.500  0.000

Record 4
Density functional theory data (GGA-PBE) for a relaxed Nd2TmRhO6 crystal.

- E_form (uncorrected): -2.7535 eV/atom

Lattice parameters (Å, degrees): 5.626 5.924 8.098 90.00 91.54 90.00
Atoms (fractional coordinates):
O  0.202  0.196  0.440
O  0.619  0.046  0.259
O  0.313  0.703  0.440
O  0.798  0.804  0.560
O  0.187  0.203  0.060
O  0.881  0.546  0.241
O  0.298  0.696  0.060
O  0.813  0.797  0.940
O  0.702  0.304  0.940
O  0.687  0.297  0.560
O  0.119  0.454  0.759
O  0.381  0.954  0.741
Nd  0.522  0.564  0.749
Nd  0.478  0.436  0.251
Nd  0.022  0.936  0.249
Nd  0.978  0.064  0.751
Tm  0.000  0.500  0.500
Tm  0.500  0.000  0.000
Rh  0.000  0.500  0.000
Rh  0.500  0.000  0.500